# 1
# PRhC3 PBE optimized geometry
data_PRhC3
_chemical_formula_sum 'P1 Rh1 C3'
_space_group_name_H-M_alt 'P 1'
_space_group_IT_number 1
_cell_length_a 5.0568
_cell_length_b 5.0568
_cell_length_c 4.8285
_cell_angle_alpha 92.89
_cell_angle_beta 92.89
_cell_angle_gamma 29.37
loop_
_space_group_symop_operation_xyz
'x,y,z'
loop_
_atom_site_label
_atom_site_type_symbol
_atom_site_fract_x
_atom_site_fract_y
_atom_site_fract_z
P1 P 0.0000 0.0000 0.0000
Rh1 Rh 0.5557 0.5557 0.3882
C1 C 0.1126 0.1126 0.7100
C2 C 0.2591 0.2591 0.8095
C3 C 0.8241 0.8241 0.8581
# formation energy from the elements: 0.392 eV per atom
# ΔE to the lowest computed polymorph: 0 meV per atom
# N(E_F): 1.4 states/eV/f.u.
# volume: 60.5 Å³ per cell
# total energy: -7.6946 eV/atom

=====

# 2
# PRhC3 PBE optimized geometry
data_PRhC3
_chemical_formula_sum 'P1 Rh1 C3'
_space_group_name_H-M_alt 'P 1'
_space_group_IT_number 1
_cell_length_a 3.6433
_cell_length_b 3.8295
_cell_length_c 4.1391
_cell_angle_alpha 81.05
_cell_angle_beta 84.36
_cell_angle_gamma 68.21
loop_
_space_group_symop_operation_xyz
'x,y,z'
loop_
_atom_site_label
_atom_site_type_symbol
_atom_site_fract_x
_atom_site_fract_y
_atom_site_fract_z
P1 P 0.0000 0.0000 0.0000
Rh1 Rh 0.5883 0.8562 0.7134
C1 C 0.0388 0.5862 0.3069
C2 C 0.4286 0.3575 0.3997
C3 C 0.7567 0.4318 0.1887
# formation energy from the elements: 0.576 eV per atom
# ΔE to the lowest computed polymorph: 184 meV per atom
# N(E_F): 0.6 states/eV/f.u.
# volume: 52.9 Å³ per cell
# total energy: -7.5108 eV/atom

=====

# 3
# PRhC3 PBE optimized geometry
data_PRhC3
_chemical_formula_sum 'P1 Rh1 C3'
_space_group_name_H-M_alt 'P 1'
_space_group_IT_number 1
_cell_length_a 3.1446
_cell_length_b 3.8777
_cell_length_c 5.1755
_cell_angle_alpha 72.05
_cell_angle_beta 75.24
_cell_angle_gamma 72.25
loop_
_space_group_symop_operation_xyz
'x,y,z'
loop_
_atom_site_label
_atom_site_type_symbol
_atom_site_fract_x
_atom_site_fract_y
_atom_site_fract_z
P1 P 0.0000 0.0000 0.0000
Rh1 Rh 0.7328 0.6531 0.5143
C1 C 0.1216 0.7527 0.7296
C2 C 0.5423 0.7408 0.1247
C3 C 0.8530 0.4992 0.9286
# formation energy from the elements: 0.819 eV per atom
# ΔE to the lowest computed polymorph: 427 meV per atom
# volume: 56.3 Å³ per cell
# total energy: -7.2679 eV/atom

=====

# 4
# PRhC3 PBE optimized geometry
data_PRhC3
_chemical_formula_sum 'P1 Rh1 C3'
_space_group_name_H-M_alt 'P 1'
_space_group_IT_number 1
_cell_length_a 4.1125
_cell_length_b 4.1125
_cell_length_c 5.2860
_cell_angle_alpha 116.29
_cell_angle_beta 116.29
_cell_angle_gamma 40.26
loop_
_space_group_symop_operation_xyz
'x,y,z'
loop_
_atom_site_label
_atom_site_type_symbol
_atom_site_fract_x
_atom_site_fract_y
_atom_site_fract_z
P1 P 0.0000 0.0000 0.0000
Rh1 Rh 0.4331 0.4331 0.3991
C1 C 0.1435 0.1435 0.3754
C2 C 0.5732 0.5732 0.8597
C3 C 0.7878 0.7878 0.0414
# formation energy from the elements: 0.859 eV per atom
# ΔE to the lowest computed polymorph: 467 meV per atom
# N(E_F): 0.9 states/eV/f.u.
# volume: 50.9 Å³ per cell
# total energy: -7.2276 eV/atom

=====

# 5
# PRhC3 PBE optimized geometry
data_PRhC3
_chemical_formula_sum 'P1 Rh1 C3'
_space_group_name_H-M_alt 'P 1'
_space_group_IT_number 1
_cell_length_a 3.8717
_cell_length_b 3.9758
_cell_length_c 4.3425
_cell_angle_alpha 66.08
_cell_angle_beta 81.22
_cell_angle_gamma 60.96
loop_
_space_group_symop_operation_xyz
'x,y,z'
loop_
_atom_site_label
_atom_site_type_symbol
_atom_site_fract_x
_atom_site_fract_y
_atom_site_fract_z
P1 P 0.0000 0.0000 0.0000
Rh1 Rh 0.4867 0.6327 0.4238
C1 C 0.0155 0.4541 0.6864
C2 C 0.1877 0.5559 0.8803
C3 C 0.5085 0.2030 0.1518
# formation energy from the elements: 0.868 eV per atom
# ΔE to the lowest computed polymorph: 476 meV per atom
# N(E_F): 1.8 states/eV/f.u.
# volume: 53.3 Å³ per cell
# total energy: -7.2186 eV/atom

=====

# 6
# PRhC3 PBE optimized geometry
data_PRhC3
_chemical_formula_sum 'P1 Rh1 C3'
_space_group_name_H-M_alt 'P 1'
_space_group_IT_number 1
_cell_length_a 4.8007
_cell_length_b 2.5602
_cell_length_c 5.0177
_cell_angle_alpha 90.00
_cell_angle_beta 105.78
_cell_angle_gamma 90.00
loop_
_space_group_symop_operation_xyz
'x,y,z'
loop_
_atom_site_label
_atom_site_type_symbol
_atom_site_fract_x
_atom_site_fract_y
_atom_site_fract_z
P1 P 0.0000 0.0000 0.0000
Rh1 Rh 0.8547 0.5000 0.3728
C1 C 0.2830 0.5000 0.5408
C2 C 0.4278 0.0000 0.5870
C3 C 0.7474 0.0000 0.6587
# formation energy from the elements: 0.582 eV per atom
# ΔE to the lowest computed polymorph: 190 meV per atom
# N(E_F): 1.7 states/eV/f.u.
# volume: 59.3 Å³ per cell
# total energy: -7.5042 eV/atom

=====

# 7
# PRhC3 PBE optimized geometry
data_PRhC3
_chemical_formula_sum 'P1 Rh1 C3'
_space_group_name_H-M_alt 'P 1'
_space_group_IT_number 1
_cell_length_a 3.9945
_cell_length_b 3.9945
_cell_length_c 6.5285
_cell_angle_alpha 99.67
_cell_angle_beta 99.67
_cell_angle_gamma 37.77
loop_
_space_group_symop_operation_xyz
'x,y,z'
loop_
_atom_site_label
_atom_site_type_symbol
_atom_site_fract_x
_atom_site_fract_y
_atom_site_fract_z
P1 P 0.0000 0.0000 0.0000
Rh1 Rh 0.2425 0.2425 0.8131
C1 C 0.0568 0.0568 0.2740
C2 C 0.5896 0.5896 0.3798
C3 C 0.6619 0.6619 0.5901
# formation energy from the elements: 0.409 eV per atom
# ΔE to the lowest computed polymorph: 17 meV per atom
# N(E_F): 1.2 states/eV/f.u.
# volume: 62.8 Å³ per cell
# total energy: -7.6777 eV/atom

=====

# 8
# PRhC3 PBE optimized geometry
data_PRhC3
_chemical_formula_sum 'P1 Rh1 C3'
_space_group_name_H-M_alt 'P 1'
_space_group_IT_number 1
_cell_length_a 3.5091
_cell_length_b 2.7760
_cell_length_c 5.1541
_cell_angle_alpha 90.00
_cell_angle_beta 99.88
_cell_angle_gamma 90.00
loop_
_space_group_symop_operation_xyz
'x,y,z'
loop_
_atom_site_label
_atom_site_type_symbol
_atom_site_fract_x
_atom_site_fract_y
_atom_site_fract_z
P1 P 0.0000 0.0000 0.0000
Rh1 Rh 0.4437 0.5000 0.5626
C1 C 0.0311 0.0000 0.6507
C2 C 0.3437 0.5000 0.1440
C3 C 0.6409 0.5000 0.9916
# formation energy from the elements: 0.892 eV per atom
# ΔE to the lowest computed polymorph: 500 meV per atom
# N(E_F): 1.7 states/eV/f.u.
# volume: 49.5 Å³ per cell
# total energy: -7.1947 eV/atom

=====

# 9
# PRhC3 PBE optimized geometry
data_PRhC3
_chemical_formula_sum 'P1 Rh1 C3'
_space_group_name_H-M_alt 'P 1'
_space_group_IT_number 1
_cell_length_a 4.7164
_cell_length_b 4.7164
_cell_length_c 5.9358
_cell_angle_alpha 125.45
_cell_angle_beta 125.45
_cell_angle_gamma 31.67
loop_
_space_group_symop_operation_xyz
'x,y,z'
loop_
_atom_site_label
_atom_site_type_symbol
_atom_site_fract_x
_atom_site_fract_y
_atom_site_fract_z
P1 P 0.0000 0.0000 0.0000
Rh1 Rh 0.6630 0.6630 0.6407
C1 C 0.0236 0.0236 0.7149
C2 C 0.2256 0.2256 0.3502
C3 C 0.8197 0.8197 0.4666
# formation energy from the elements: 0.534 eV per atom
# ΔE to the lowest computed polymorph: 142 meV per atom
# N(E_F): 1.0 states/eV/f.u.
# volume: 55.3 Å³ per cell
# total energy: -7.5522 eV/atom

=====

# 10
# PRhC3 PBE optimized geometry
data_PRhC3
_chemical_formula_sum 'P1 Rh1 C3'
_space_group_name_H-M_alt 'P 1'
_space_group_IT_number 1
_cell_length_a 2.6390
_cell_length_b 3.9329
_cell_length_c 9.3568
_cell_angle_alpha 85.38
_cell_angle_beta 88.72
_cell_angle_gamma 70.46
loop_
_space_group_symop_operation_xyz
'x,y,z'
loop_
_atom_site_label
_atom_site_type_symbol
_atom_site_fract_x
_atom_site_fract_y
_atom_site_fract_z
P1 P 0.0000 0.0000 0.0000
Rh1 Rh 0.2815 0.4586 0.8576
C1 C 0.4493 0.4711 0.4303
C2 C 0.5618 0.8985 0.8645
C3 C 0.9310 0.4710 0.4303
# formation energy from the elements: 0.878 eV per atom
# ΔE to the lowest computed polymorph: 486 meV per atom
# N(E_F): 0.6 states/eV/f.u.
# volume: 91.2 Å³ per cell
# total energy: -7.2089 eV/atom

=====

# 11
# PRhC3 PBE optimized geometry
data_PRhC3
_chemical_formula_sum 'P1 Rh1 C3'
_space_group_name_H-M_alt 'P 1'
_space_group_IT_number 1
_cell_length_a 2.7586
_cell_length_b 5.5770
_cell_length_c 3.8973
_cell_angle_alpha 90.00
_cell_angle_beta 90.00
_cell_angle_gamma 90.00
loop_
_space_group_symop_operation_xyz
'x,y,z'
loop_
_atom_site_label
_atom_site_type_symbol
_atom_site_fract_x
_atom_site_fract_y
_atom_site_fract_z
P1 P 0.0000 0.0000 0.0000
Rh1 Rh 0.5000 0.5000 0.3811
C1 C 0.0000 0.0000 0.5518
C2 C 0.0000 0.2180 0.3471
C3 C 0.0000 0.7820 0.3471
# formation energy from the elements: 0.879 eV per atom
# ΔE to the lowest computed polymorph: 487 meV per atom
# N(E_F): 2.5 states/eV/f.u.
# volume: 60.0 Å³ per cell
# total energy: -7.2076 eV/atom

=====

# 12
# PRhC3 PBE optimized geometry
data_PRhC3
_chemical_formula_sum 'P1 Rh1 C3'
_space_group_name_H-M_alt 'P 1'
_space_group_IT_number 1
_cell_length_a 3.6585
_cell_length_b 3.8378
_cell_length_c 3.8394
_cell_angle_alpha 87.38
_cell_angle_beta 88.28
_cell_angle_gamma 71.89
loop_
_space_group_symop_operation_xyz
'x,y,z'
loop_
_atom_site_label
_atom_site_type_symbol
_atom_site_fract_x
_atom_site_fract_y
_atom_site_fract_z
P1 P 0.0000 0.0000 0.0000
Rh1 Rh 0.1166 0.4691 0.3138
C1 C 0.2873 0.9406 0.6056
C2 C 0.5980 0.6165 0.6432
C3 C 0.6135 0.3955 0.9742
# formation energy from the elements: 0.628 eV per atom
# ΔE to the lowest computed polymorph: 236 meV per atom
# N(E_F): 0.2 states/eV/f.u.
# volume: 51.2 Å³ per cell
# total energy: -7.4584 eV/atom

=====

ΔE to the lowest computed polymorph of number 11 (PRhC3)?
487 meV per atom

=====

Look up the formation energy from the elements of the second one.
0.576 eV per atom

=====

The highest total energy belongs to which entry?
number 8

=====

Number 4 is which compound?
PRhC3